Entry 1:
VASP calculation (PBE) on a relaxed structure of CrNiTe2.

a b c (Å): 3.6196 6.2585 6.2585
angles (deg): 34.03 90.00 90.00
Closest atoms and distances in Å follow each position.
Fractional positions:
1 Cr 0.0000 0.0000 0.0000  6 Te 2.70-2.84, 2 Ni 2.81
2 Ni 0.5000 0.1800 0.1800  5 Te 2.58-2.63, 2 Cr 2.81
3 Te 0.0000 0.6663 0.6663  4 Ni 2.58, 2 Cr 2.70
4 Te 0.5000 0.3996 0.3996  1 Ni 2.63, 4 Cr 2.84

Summary:
Crystal system: orthorhombic
Energy above the most stable polymorph in this dataset (eV/atom): 0.139
Magnetization (μB/atom): 0.564

=====

Entry 2:
VASP calculation (PBE) on a relaxed structure of CrNiTe2.

a b c (Å): 5.2841 3.7316 5.3790
angles (deg): 90.00 96.83 90.00
Closest atoms and distances in Å follow each position.
Fractional positions:
1 Cr 0.0000 0.0000 0.0000  2 Ni 2.69, 4 Te 2.76
2 Ni 0.0000 0.0000 0.5000  4 Te 2.53, 2 Cr 2.69
3 Te 0.2464 0.5000 0.7383  2 Ni 2.53, 2 Cr 2.76
4 Te 0.7536 0.5000 0.2617  2 Ni 2.53, 2 Cr 2.76

Summary:
Crystal system: monoclinic
Energy above the most stable polymorph in this dataset (eV/atom): 0.257
Magnetization (μB/atom): 0.936

=====

Entry 3:
VASP calculation (PBE) on a relaxed structure of CrNi2Te.

a b c (Å): 3.3625 3.3625 5.2654
angles (deg): 90.00 90.00 90.00
Closest atoms and distances in Å follow each position.
Fractional positions:
1 Cr 0.0000 0.0000 0.0000  5 Ni 2.43-2.66
2 Ni 0.0000 0.0000 0.4613  1 Cr 2.43, 4 Ni 2.68, 4 Te 2.72
3 Ni 0.5000 0.5000 0.2260  2 Te 2.56-2.71, 4 Cr 2.66, 4 Ni 2.68
4 Te 0.5000 0.5000 0.7122  6 Ni 2.56-2.72, 4 Cr 2.82

Summary:
Crystal system: tetragonal
Magnetization (μB/atom): 0.910

=====

Uncorrected formation energy? In order: -0.15, 0.32, 1.05 eV per formula unit.